Record 1
4
Lattice="4.638 0.000 0.000 0.000 4.638 0.000 0.000 0.000 4.739" Properties=species:S:1:pos:R:3 comment="LaCd2In (GGA-PBEsol, optimized geometry)" total_magnetization_mub_per_cell=0.00 final_energy_ev_per_atom=-3.017 formation_energy_ev_per_atom=-0.34 space_group="P4/mmm, No. 123" vol_a3_per_atom=25.48 pbc="T T T"
La 0.000 0.000 0.000
Cd 0.000 2.319 2.370
Cd 2.319 0.000 2.370
In 2.319 2.319 0.000

***

Record 2
5
Lattice="6.254 0.000 0.000 0.000 6.254 0.000 0.000 0.000 6.254" Properties=species:S:1:pos:R:3 comment="CsSrCa3 (GGA-PBEsol, optimized geometry)" total_magnetization_mub_per_cell=3.03 final_energy_ev_per_atom=-1.117 formation_energy_ev_per_atom=0.72 space_group="Pm-3m, No. 221" vol_a3_per_atom=48.93 pbc="T T T"
Cs 0.000 0.000 0.000
Sr 3.127 3.127 3.127
Ca 0.000 0.000 3.127
Ca 0.000 3.127 0.000
Ca 3.127 0.000 0.000

***

Record 3
4
Lattice="0.000 3.877 3.877 3.877 0.000 3.877 3.877 3.877 0.000" Properties=species:S:1:pos:R:3 comment="Eu2HgBi (GGA-PBEsol, optimized geometry)" total_magnetization_mub_per_cell=14.76 final_energy_ev_per_atom=-7.252 formation_energy_ev_per_atom=-0.76 space_group="Fm-3m, No. 225" vol_a3_per_atom=29.15 pbc="T T T"
Eu 1.939 1.939 1.939
Eu 5.816 5.816 5.816
Hg 0.000 0.000 0.000
Bi 3.877 3.877 3.877

***

Record 4
4
Lattice="2.041 1.179 7.389 -2.041 1.179 7.389 0.000 -2.357 7.389" Properties=species:S:1:pos:R:3 comment="Y2TeAu (GGA-PBEsol, optimized geometry)" total_magnetization_mub_per_cell=0.00 final_energy_ev_per_atom=-6.354 space_group="R-3m, No. 166" vol_a3_per_atom=26.67 pbc="T T T"
Y 0.000 0.000 5.397
Y 0.000 0.000 16.771
Te 0.000 0.000 0.000
Au 0.000 0.000 11.084